(1)
Computed, not measured: a geometry-optimized V3GaH structure at the PBE-GGA level of DFT.

**Volume**: 57 Å³/f.u.

abc: 4.382 5.210 5.000
angles: 90.00 90.77 90.00
Space group P2_1/m (No. 11)
Asymmetric unit:
V: 0.239 0.250 0.378 (multiplicity 2)
V: 0.242 0.516 0.848 (multiplicity 4)
Ga: 0.253 0.750 0.342 (multiplicity 2)
H: 0.447 0.250 0.067 (multiplicity 2)


(2)
Computed, not measured: a geometry-optimized V7GaH5 structure at the PBE-GGA level of DFT.

**Volume**: 124 Å³/f.u.

abc: 4.292 7.353 7.870
angles: 90.00 90.00 90.00
Space group Imm2 (No. 44)
Asymmetric unit:
V: 0.000 0.000 0.000 (multiplicity 2)
V: 0.000 0.000 0.312 (multiplicity 2)
V: 0.000 0.319 0.271 (multiplicity 4)
V: 0.000 0.326 0.614 (multiplicity 4)
V: 0.000 0.500 0.969 (multiplicity 2)
Ga: 0.000 0.000 0.675 (multiplicity 2)
H: 0.000 0.500 0.445 (multiplicity 2)
H: 0.248 0.212 0.433 (multiplicity 8)


no.,uncorrected energy (eV per cell)
1,-69.07
2,-166.55